Entry from Alexandria via LeMat-Bulk: a geometry-optimized Rb4Mg3VF12 structure (PBE+U).

VASP energy   -0.1860 Ha/atom
ρ   4.0 Mg/m³
Space-group type   No. 229
V   288.09 Å³/cell
Size of the total moment   3.0 Bohr magnetons per cell

Geometry as POSCAR:
```
Rb4Mg3VF12
1.0
7.2064 0.0000 0.0000
-2.4021 6.7943 0.0000
-2.4021 -3.3971 5.8840
V F Mg Rb
1 12 3 4
Direct
0.0000 0.0000 0.0000 V
0.5000 0.2500 0.7500 F
0.7500 0.5000 0.2500 F
0.7429 0.0000 0.7429 F
0.0000 0.7429 0.7429 F
0.2571 0.2571 0.0000 F
0.2500 0.5000 0.7500 F
0.7500 0.2500 0.5000 F
0.7429 0.7429 0.0000 F
0.5000 0.7500 0.2500 F
0.2500 0.7500 0.5000 F
0.0000 0.2571 0.2571 F
0.2571 0.0000 0.2571 F
0.0000 0.5000 0.5000 Mg
0.5000 0.0000 0.5000 Mg
0.5000 0.5000 0.0000 Mg
0.5000 0.0000 0.0000 Rb
0.0000 0.5000 0.0000 Rb
0.0000 0.0000 0.5000 Rb
0.5000 0.5000 0.5000 Rb
```